(1)
The following is a PBE-GGA calculation of an optimized crystal structure of Th2Co3Ge4Au, from the Alexandria database.

Output
Magnetization ... 1.13 μB per formula unit
ΔH_f (0 K) ... -0.5875 eV/atom
Fermi-level density of states ... 6.052 states/eV/f.u.
Space-group type ... P-4m2 (115)

```
Th2Co3Ge4Au
1.0
4.202 0.000 0.000
0.000 4.202 0.000
0.000 0.000 9.949
Th Co Ge Au
2 3 4 1
Direct
0.000 0.500 0.240
0.500 0.000 0.760
0.000 0.500 0.884
0.500 0.000 0.116
0.500 0.500 0.500
0.000 0.000 0.000
0.000 0.500 0.650
0.500 0.000 0.350
0.500 0.500 0.000
0.000 0.000 0.500
```



(2)
The following is a PBE-GGA calculation of an optimized crystal structure of SbPRhI2, from the Alexandria database.

Output
Magnetization ... 1.18 μB per formula unit
ΔE to the lowest computed polymorph ... 0.321 eV/atom
Fermi-level density of states ... 8.736 states/eV/f.u.
Space-group type ... P4/mmm (123)

```
SbPRhI2
1.0
5.281 0.000 0.000
0.000 5.281 0.000
0.000 0.000 5.341
Sb P Rh I
1 1 1 2
Direct
0.000 0.000 0.000
0.000 0.000 0.500
0.500 0.500 0.000
0.000 0.500 0.500
0.500 0.000 0.500
```



(3)
The following is a PBE-GGA calculation of an optimized crystal structure of VZn2BiMo, from the Alexandria database.

Output
Magnetization ... 3.09 μB per formula unit
ΔH_f (0 K) ... 1.1010 eV/atom
Fermi-level density of states ... 4.746 states/eV/f.u.
Space-group type ... P4/mmm (123)

```
VZn2BiMo
1.0
4.921 0.000 0.000
0.000 4.921 0.000
0.000 0.000 5.208
V Zn Bi Mo
1 2 1 1
Direct
0.000 0.000 0.000
0.000 0.500 0.500
0.500 0.000 0.500
0.500 0.500 0.000
0.500 0.500 0.500
```



(4)
The following is a PBE-GGA calculation of an optimized crystal structure of B2PdAu2, from the Alexandria database.

Output
Magnetization ... 0.00 μB per formula unit
ΔH_f (0 K) ... 0.3329 eV/atom
Fermi-level density of states ... 2.049 states/eV/f.u.
Space-group type ... P4/mbm (127)

```
B2PdAu2
1.0
5.722 0.000 0.000
0.000 5.722 0.000
0.000 0.000 4.144
B Pd Au
4 2 4
Direct
0.103 0.397 0.000
0.397 0.897 0.000
0.603 0.103 0.000
0.897 0.603 0.000
0.000 0.000 0.000
0.500 0.500 0.000
0.207 0.293 0.500
0.293 0.793 0.500
0.707 0.207 0.500
0.793 0.707 0.500
```



(5)
The following is a PBE-GGA calculation of an optimized crystal structure of NpNi2PN, from the Alexandria database.

Output
Raw total energy ... -8.44 eV/atom
Magnetization ... 3.08 μB per formula unit
Fermi-level density of states ... 7.455 states/eV/f.u.
Space-group type ... Cmcm (63)

```
NpNi2PN
1.0
1.734 -5.500 0.000
1.734 5.500 0.000
0.000 0.000 6.595
Np Ni P N
2 4 2 2
Direct
0.030 0.970 0.750
0.970 0.030 0.250
0.325 0.675 0.557
0.325 0.675 0.943
0.675 0.325 0.057
0.675 0.325 0.443
0.237 0.763 0.250
0.763 0.237 0.750
0.500 0.500 0.000
0.500 0.500 0.500
```



(6)
The following is a PBE-GGA calculation of an optimized crystal structure of LaErNi, from the Alexandria database.

Output
Magnetization ... 0.00 μB per formula unit
ΔH_f (0 K) ... -0.0649 eV/atom
ΔE to the lowest computed polymorph ... 0.206 eV/atom
Fermi-level density of states ... 4.291 states/eV/f.u.
Space-group type ... Immm (71)

```
LaErNi
1.0
3.596 0.000 0.000
0.000 6.595 0.000
0.000 0.000 14.327
La Er Ni
4 4 4
Direct
0.000 0.000 0.131
0.000 0.000 0.869
0.500 0.500 0.369
0.500 0.500 0.631
0.000 0.000 0.381
0.000 0.000 0.619
0.500 0.500 0.119
0.500 0.500 0.881
0.000 0.311 0.000
0.000 0.689 0.000
0.500 0.189 0.500
0.500 0.811 0.500
```



(7)
The following is a PBE-GGA calculation of an optimized crystal structure of Y2TmTe3, from the Alexandria database.

Output
Magnetization ... 0.00 μB per formula unit
ΔE to the lowest computed polymorph ... 0.025 eV/atom
Fermi-level density of states ... 2.772 states/eV/f.u.
Space-group type ... Immm (71)

```
Y2TmTe3
1.0
4.374 0.000 0.000
0.000 6.120 0.000
0.000 0.000 13.001
Y Tm Te
4 2 6
Direct
0.000 0.000 0.173
0.000 0.000 0.827
0.500 0.500 0.327
0.500 0.500 0.673
0.000 0.000 0.500
0.500 0.500 0.000
0.000 0.500 0.162
0.000 0.500 0.500
0.000 0.500 0.838
0.500 0.000 0.000
0.500 0.000 0.338
0.500 0.000 0.662
```



(8)
The following is a PBE-GGA calculation of an optimized crystal structure of BaSc2Cu, from the Alexandria database.

Output
Magnetization ... 0.01 μB per formula unit
ΔH_f (0 K) ... 0.4416 eV/atom
ΔE to the lowest computed polymorph ... 0.345 eV/atom
Fermi-level density of states ... 6.083 states/eV/f.u.
Space-group type ... C2/m (12)

```
BaSc2Cu
1.0
6.392 0.000 0.000
0.000 11.732 0.000
-1.747 0.000 2.884
Ba Sc Cu
2 4 2
Direct
0.000 0.000 0.000
0.500 0.500 0.000
0.250 0.250 0.500
0.250 0.750 0.500
0.750 0.250 0.500
0.750 0.750 0.500
0.000 0.500 0.000
0.500 0.000 0.000
```



(9)
The following is a PBE-GGA calculation of an optimized crystal structure of PmTm2HfP4, from the Alexandria database.

Output
Magnetization ... 0.00 μB per formula unit
ΔH_f (0 K) ... -1.4928 eV/atom
Fermi-level density of states ... 1.399 states/eV/f.u.
Space-group type ... P2/m (10)

```
PmTm2HfP4
1.0
6.781 0.000 0.000
0.000 3.918 0.000
-2.241 0.000 6.424
Pm Tm Hf P
1 2 1 4
Direct
0.000 0.000 0.000
0.500 0.000 0.500
0.500 0.500 0.000
0.000 0.500 0.500
0.242 0.000 0.735
0.252 0.500 0.264
0.748 0.500 0.736
0.758 0.000 0.265
```



(10)
The following is a PBE-GGA calculation of an optimized crystal structure of Na3Tl3InO8, from the Alexandria database.

Output
Raw total energy ... -4.60 eV/atom
Magnetization ... 1.18 μB per formula unit
Fermi-level density of states ... 13.558 states/eV/f.u.
Space-group type ... R-3m (166)

```
Na3Tl3InO8
1.0
3.378 1.950 5.647
-3.378 1.950 5.647
0.000 -3.900 5.647
Na Tl In O
3 3 1 8
Direct
0.000 0.500 0.500
0.500 0.000 0.500
0.500 0.500 0.000
0.000 0.000 0.500
0.000 0.500 0.000
0.500 0.000 0.000
0.500 0.500 0.500
0.241 0.241 0.241
0.253 0.728 0.728
0.272 0.272 0.747
0.272 0.747 0.272
0.728 0.253 0.728
0.728 0.728 0.253
0.747 0.272 0.272
0.759 0.759 0.759
```



(11)
The following is a PBE-GGA calculation of an optimized crystal structure of Ac2HgGe, from the Alexandria database.

Output
Magnetization ... 0.00 μB per formula unit
ΔH_f (0 K) ... -0.5636 eV/atom
ΔE to the lowest computed polymorph ... 0.000 eV/atom
Fermi-level density of states ... 4.355 states/eV/f.u.
Space-group type ... P2_1/m (11)

```
Ac2HgGe
1.0
6.509 0.000 0.000
0.000 4.543 0.000
-2.935 0.000 8.785
Ac Hg Ge
4 2 2
Direct
0.204 0.250 0.428
0.287 0.750 0.069
0.713 0.250 0.931
0.796 0.750 0.572
0.361 0.750 0.712
0.639 0.250 0.288
0.124 0.250 0.792
0.876 0.750 0.208
```



(12)
The following is a PBE-GGA calculation of an optimized crystal structure of Li2AgS2, from the Alexandria database.

Output
Magnetization ... 0.00 μB per formula unit
ΔE to the lowest computed polymorph ... 0.000 eV/atom
Fermi-level density of states ... 2.364 states/eV/f.u.
Space-group type ... P4/mbm (127)

```
Li2AgS2
1.0
6.809 0.000 0.000
0.000 6.809 0.000
0.000 0.000 3.627
Li Ag S
4 2 4
Direct
0.140 0.360 0.000
0.360 0.860 0.000
0.640 0.140 0.000
0.860 0.640 0.000
0.000 0.000 0.500
0.500 0.500 0.500
0.168 0.668 0.500
0.332 0.168 0.500
0.668 0.832 0.500
0.832 0.332 0.500
```



The highest Fermi-level density of states belongs to which entry?
Na3Tl3InO8



The lowest Fermi-level density of states belongs to which entry?
PmTm2HfP4



Among the records above, which one has the lowest Fermi-level density of states?
PmTm2HfP4